A plane-wave DFT calculation with PBE-GGA was carried out for crystalline TlP2S at its relaxed geometry.

Computed properties:
Energy relative to the elements, uncorrected   0.870 eV per atom

Unit cell a=4.7535 b=4.7535 c=4.7535 alpha=60.00 beta=60.00 gamma=60.00
Atoms (fractional coordinates):
Tl (0.5000, 0.5000, 0.5000)
S (0.0000, 0.0000, 0.0000)
P (0.7500, 0.7500, 0.7500)
P (0.2500, 0.2500, 0.2500)

=====

A plane-wave DFT calculation with PBE-GGA was carried out for crystalline TbScBr at its relaxed geometry.

Computed properties:
Energy relative to the elements, uncorrected   -0.723 eV per atom

Unit cell a=3.5619 b=3.5619 c=16.1061 alpha=83.65 beta=83.65 gamma=60.00
Each line ends with the local moment (μB).
Atoms (fractional coordinates):
Sc (0.4119, 0.4119, 0.7642)  0.34
Sc (0.5881, 0.5881, 0.2358)  0.34
Tb (0.8643, 0.8643, 0.4070)  0.03
Tb (0.1357, 0.1357, 0.5930)  0.03
Br (0.7072, 0.7072, 0.8784)  0.00
Br (0.2928, 0.2928, 0.1216)  0.00

=====

A plane-wave DFT calculation with PBE-GGA was carried out for crystalline LiPrThPd at its relaxed geometry.

Computed properties:
Calculated formation energy   -184.0 meV/atom

Unit cell a=5.1918 b=5.1918 c=5.1918 alpha=60.00 beta=60.00 gamma=60.00
Each line ends with the local moment (μB).
Atoms (fractional coordinates):
Li (0.2500, 0.2500, 0.2500)  0.01
Pr (0.0000, 0.0000, 0.0000)  0.04
Pd (0.7500, 0.7500, 0.7500)  0.02
Th (0.5000, 0.5000, 0.5000)  0.06

=====

A plane-wave DFT calculation with PBE-GGA was carried out for crystalline Tb3Sc2Tl3 at its relaxed geometry.

Computed properties:
Calculated formation energy   -248.3 meV/atom

Unit cell a=4.3748 b=4.8268 c=10.6281 alpha=103.12 beta=101.88 gamma=90.00
Each line ends with the local moment (μB).
Atoms (fractional coordinates):
Tb (0.3773, 0.3773, 0.7546)  0.15
Tb (0.6227, 0.6227, 0.2454)  0.15
Tb (0.5000, 0.0000, 0.0000)  0.23
Tl (0.0000, 0.5000, 0.0000)  0.01
Tl (0.8620, 0.8620, 0.7239)  0.00
Tl (0.1380, 0.1380, 0.2761)  0.00
Sc (0.2580, 0.7580, 0.5161)  0.07
Sc (0.7420, 0.2420, 0.4839)  0.07

=====

A plane-wave DFT calculation with PBE-GGA was carried out for crystalline AgPOs2 at its relaxed geometry.

Computed properties:
Calculated formation energy   280.1 meV/atom

Unit cell a=8.8809 b=8.8809 c=8.8809 alpha=18.33 beta=18.33 gamma=18.33
Atoms (fractional coordinates):
Os (0.9934, 0.9934, 0.9934)
Os (0.2436, 0.2436, 0.2436)
P (0.5106, 0.5106, 0.5106)
Ag (0.7523, 0.7523, 0.7523)

=====

A plane-wave DFT calculation with PBE-GGA was carried out for crystalline Pr2HoRhO6 at its relaxed geometry.

Computed properties:
Energy relative to the elements, uncorrected   -2.713 eV per atom

Unit cell a=5.6759 b=5.9616 c=8.1665 alpha=90.00 beta=91.52 gamma=90.00
Atoms (fractional coordinates):
O (0.2048, 0.1958, 0.4405)
O (0.2952, 0.6958, 0.0595)
O (0.7952, 0.8042, 0.5595)
O (0.8824, 0.5451, 0.2393)
O (0.3132, 0.7059, 0.4402)
O (0.6176, 0.0451, 0.2607)
O (0.6868, 0.2941, 0.5598)
O (0.7048, 0.3042, 0.9405)
O (0.8132, 0.7941, 0.9402)
O (0.1868, 0.2059, 0.0598)
O (0.3824, 0.9549, 0.7393)
O (0.1176, 0.4549, 0.7607)
Rh (0.0000, 0.5000, 0.0000)
Rh (0.5000, 0.0000, 0.5000)
Ho (0.0000, 0.5000, 0.5000)
Ho (0.5000, 0.0000, 0.0000)
Pr (0.0215, 0.9381, 0.2490)
Pr (0.5215, 0.5619, 0.7490)
Pr (0.9785, 0.0619, 0.7510)
Pr (0.4785, 0.4381, 0.2510)

=====

A plane-wave DFT calculation with PBE-GGA was carried out for crystalline Ca3Al2As4 at its relaxed geometry.

Computed properties:
Calculated formation energy   -958.8 meV/atom

Unit cell a=8.2824 b=8.2824 c=6.6651 alpha=89.21 beta=89.21 gamma=75.84
Atoms (fractional coordinates):
Al (0.8285, 0.5797, 0.4113)
Al (0.5797, 0.8285, 0.9113)
Al (0.4203, 0.1715, 0.0887)
Al (0.1715, 0.4203, 0.5887)
As (0.0598, 0.7191, 0.4761)
As (0.7429, 0.5653, 0.0611)
As (0.2571, 0.4347, 0.9389)
As (0.7191, 0.0598, 0.9761)
As (0.2809, 0.9402, 0.0239)
As (0.9402, 0.2809, 0.5239)
As (0.4347, 0.2571, 0.4389)
As (0.5653, 0.7429, 0.5611)
Ca (0.4010, 0.5990, 0.2500)
Ca (0.5990, 0.4010, 0.7500)
Ca (0.7506, 0.0053, 0.4754)
Ca (0.0053, 0.7506, 0.9754)
Ca (0.2494, 0.9947, 0.5246)
Ca (0.9947, 0.2494, 0.0246)

=====

A plane-wave DFT calculation with PBE-GGA was carried out for crystalline Pm6Co2PtI3 at its relaxed geometry.

Computed properties:
Energy relative to the elements, uncorrected   -0.771 eV per atom

Unit cell a=7.1277 b=7.1277 c=8.3822 alpha=98.14 beta=98.14 gamma=119.98
Atoms (fractional coordinates):
Co (0.3332, 0.6668, 0.0000)
Co (0.6668, 0.3332, 0.0000)
Pt (0.0000, 0.0000, 0.0000)
I (0.1660, 0.8340, 0.5000)
I (0.5000, 0.5000, 0.5000)
I (0.8340, 0.1660, 0.5000)
Pm (0.7111, 0.7111, 0.1820)
Pm (0.0611, 0.4104, 0.1829)
Pm (0.5896, 0.9389, 0.8171)
Pm (0.9389, 0.5896, 0.8171)
Pm (0.4104, 0.0611, 0.1829)
Pm (0.2889, 0.2889, 0.8180)

=====

A plane-wave DFT calculation with PBE-GGA was carried out for crystalline Rb2TbTiS4 at its relaxed geometry.

Computed properties:
Energy relative to the elements, uncorrected   -1.406 eV per atom

Unit cell a=7.1008 b=7.1008 c=7.1008 alpha=94.64 beta=117.36 gamma=117.36
Each line ends with the local moment (μB).
Atoms (fractional coordinates):
S (0.3915, 0.8506, 0.7711)  -0.01
S (0.6085, 0.3796, 0.4591)  -0.01
S (0.0795, 0.2289, 0.6204)  -0.01
S (0.9205, 0.5409, 0.1494)  -0.01
Rb (0.0000, 0.0000, 0.0000)  0.00
Rb (0.5000, 0.7500, 0.2500)  0.00
Tb (0.5000, 0.2500, 0.7500)  0.05
Ti (0.0000, 0.5000, 0.5000)  0.82

=====

A plane-wave DFT calculation with PBE-GGA was carried out for crystalline NaSbS2N at its relaxed geometry.

Computed properties:
Energy relative to the elements, uncorrected   0.352 eV per atom

Unit cell a=5.1076 b=5.1076 c=4.1245 alpha=90.00 beta=90.00 gamma=90.00
Each line ends with the local moment (μB).
Atoms (fractional coordinates):
Sb (0.0000, 0.0000, 0.0000)  -0.01
Na (0.5000, 0.5000, 0.5000)  0.00
S (0.0000, 0.5000, 0.0000)  0.14
S (0.5000, 0.0000, 0.0000)  0.14
N (0.0000, 0.0000, 0.5000)  0.68

=====

A plane-wave DFT calculation with PBE-GGA was carried out for crystalline TmTiPd2 at its relaxed geometry.

Computed properties:
Calculated formation energy   -669.0 meV/atom

Unit cell a=3.2483 b=3.2483 c=6.9381 alpha=90.00 beta=90.00 gamma=90.00
Atoms (fractional coordinates):
Ti (0.5000, 0.5000, 0.0000)
Tm (0.5000, 0.5000, 0.5000)
Pd (0.0000, 0.0000, 0.7876)
Pd (0.0000, 0.0000, 0.2124)

=====

A plane-wave DFT calculation with PBE-GGA was carried out for crystalline Li3Br at its relaxed geometry.

Computed properties:
Energy relative to the elements, uncorrected   -0.607 eV per atom

Unit cell a=3.7135 b=3.7135 c=7.4505 alpha=90.00 beta=90.00 gamma=120.00
Atoms (fractional coordinates):
Li (0.6667, 0.3333, 0.7860)
Li (0.6667, 0.3333, 0.2140)
Li (0.0000, 0.0000, 0.5000)
Br (0.0000, 0.0000, 0.0000)